Compound: KPdIO2
Source: Alexandria via LeMat-Bulk
Functional: meta-GGA SCAN
Structure: single point on PBEsol structure

Lattice parameters (Å, degrees): 4.378 4.378 6.729 90.00 90.00 90.00
Fractional coordinates of all 5 atoms:
K (0.000, 0.000, 0.000)
Pd (0.500, 0.500, 0.500)
I (0.000, 0.000, 0.500)
O (0.000, 0.500, 0.000)
O (0.500, 0.000, 0.000)

- Magnetization: 3.641 μB per formula unit
- SG: P4/mmm
- Formation energy from raw total energies: 716 meV per atom

---

Compound: SrLa2Pd2
Source: Alexandria via LeMat-Bulk
Functional: meta-GGA SCAN
Structure: single point on PBEsol structure

Lattice parameters (Å, degrees): 8.111 8.111 4.094 90.00 90.00 90.00
Fractional coordinates of all 10 atoms:
Sr (0.000, 0.000, 0.000)
Sr (0.500, 0.500, 0.000)
La (0.158, 0.342, 0.500)
La (0.342, 0.842, 0.500)
La (0.658, 0.158, 0.500)
La (0.842, 0.658, 0.500)
Pd (0.129, 0.629, 0.000)
Pd (0.371, 0.129, 0.000)
Pd (0.629, 0.871, 0.000)
Pd (0.871, 0.371, 0.000)

- Magnetization: 0.000 μB per formula unit
- ΔE_f: -62 kJ per mole of atoms
- Offset from the most stable computed form: 0 meV/atom
- SG: P4/mbm

---

Compound: FeCoOs2
Source: Alexandria via LeMat-Bulk
Functional: meta-GGA SCAN
Structure: single point on PBEsol structure

Lattice parameters (Å, degrees): 4.462 4.462 4.422 99.51 99.51 33.87
Fractional coordinates of all 4 atoms:
Fe (0.000, 0.000, 0.000)
Co (0.750, 0.750, 0.245)
Os (0.254, 0.254, 0.762)
Os (0.500, 0.500, 0.483)

- Magnetization: 1.578 μB per formula unit
- ΔE_f: 22 kJ per mole of atoms
- Offset from the most stable computed form: 79 meV/atom
- SG: Cm

---

Compound: Nb2TlZnBi
Source: Alexandria via LeMat-Bulk
Functional: meta-GGA SCAN
Structure: single point on PBEsol structure

Lattice parameters (Å, degrees): 5.258 5.258 5.733 90.00 90.00 90.00
Fractional coordinates of all 5 atoms:
Nb (0.000, 0.500, 0.000)
Nb (0.500, 0.000, 0.000)
Tl (0.000, 0.000, 0.500)
Zn (0.500, 0.500, 0.500)
Bi (0.000, 0.000, 0.000)

- Magnetization: 3.599 μB per formula unit
- ΔE_f: 168 kJ per mole of atoms
- SG: P4/mmm

---

Compound: Sr3TlPb
Source: Alexandria via LeMat-Bulk
Functional: meta-GGA SCAN
Structure: single point on PBEsol structure

Lattice parameters (Å, degrees): 6.284 6.284 6.284 90.00 90.00 90.00
Fractional coordinates of all 5 atoms:
Sr (0.000, 0.000, 0.500)
Sr (0.000, 0.500, 0.000)
Sr (0.500, 0.000, 0.000)
Tl (0.500, 0.500, 0.500)
Pb (0.000, 0.000, 0.000)

- Magnetization: 0.004 μB per formula unit
- ΔE_f: -20 kJ per mole of atoms
- SG: Pm-3m

---

Compound: CoMo2Cl
Source: Alexandria via LeMat-Bulk
Functional: meta-GGA SCAN
Structure: single point on PBEsol structure

Lattice parameters (Å, degrees): 2.790 2.790 7.250 90.00 90.00 90.00
Fractional coordinates of all 4 atoms:
Co (0.000, 0.000, 0.000)
Mo (0.000, 0.000, 0.500)
Mo (0.500, 0.500, 0.214)
Cl (0.500, 0.500, 0.726)

- Magnetization: 0.001 μB per formula unit
- Offset from the most stable computed form: 187 meV/atom
- SG: P4mm
- Formation energy from raw total energies: 495 meV per atom

---

Compound: Be2TlBr
Source: Alexandria via LeMat-Bulk
Functional: meta-GGA SCAN
Structure: single point on PBEsol structure

Lattice parameters (Å, degrees): 4.884 4.884 3.052 90.00 90.00 90.30
Fractional coordinates of all 4 atoms:
Be (0.000, 0.500, 0.000)
Be (0.500, 0.000, 0.000)
Tl (0.000, 0.000, 0.500)
Br (0.500, 0.500, 0.500)

- Magnetization: 0.000 μB per formula unit
- Offset from the most stable computed form: 428 meV/atom
- SG: Cmmm
- Formation energy from raw total energies: 876 meV per atom

---

Compound: CoPBr2
Source: Alexandria via LeMat-Bulk
Functional: meta-GGA SCAN
Structure: single point on PBEsol structure

Lattice parameters (Å, degrees): 4.638 4.638 4.638 60.00 60.00 60.00
Fractional coordinates of all 4 atoms:
Co (0.000, 0.000, 0.000)
P (0.750, 0.750, 0.750)
Br (0.250, 0.250, 0.250)
Br (0.500, 0.500, 0.500)

- Magnetization: 0.685 μB per formula unit
- Offset from the most stable computed form: 1036 meV/atom
- SG: F-43m
- Formation energy from raw total energies: 1057 meV per atom